# ZrBi2Pd2 | Alexandria | PBE | relaxed
# Total magnetization, μB/atom: 0.000
# E_form, eV per formula unit: -1.44
# Energy above the most stable polymorph in this dataset, kJ/mol of formula units: 0
# V, Å³/cell: 220
# Raw total energy, eV/f.u.: -28.14
data_ZrBi2Pd2
_cell_length_a 7.4052
_cell_length_b 7.4052
_cell_length_c 4.0185
_cell_angle_alpha 90.00
_cell_angle_beta 90.00
_cell_angle_gamma 90.00
_space_group_name_H-M_alt 'P 4/m b m'
_space_group_IT_number 127
_space_group_name_Hall '-P 4 2ab'
loop_
_atom_site_label
_atom_site_type_symbol
_atom_site_fract_x
_atom_site_fract_y
_atom_site_fract_z
Zr1 Zr 0.0000 0.0000 0.0000
Bi1 Bi 0.1774 0.3226 0.5000
Pd1 Pd 0.1291 0.6291 0.0000

***

# TlRe2Ni | Alexandria | PBE | relaxed
# Total magnetization, μB/atom: 0.000
# E_form, eV per formula unit: 3.15
# Energy above the most stable polymorph in this dataset, kJ/mol of formula units: 104
# V, Å³/cell: 63
# Raw total energy, eV/f.u.: -29.89
data_TlRe2Ni
_cell_length_a 3.7685
_cell_length_b 3.7685
_cell_length_c 4.4553
_cell_angle_alpha 90.00
_cell_angle_beta 90.00
_cell_angle_gamma 90.00
_space_group_name_H-M_alt 'P 4/m m m'
_space_group_IT_number 123
_space_group_name_Hall '-P 4 2'
loop_
_atom_site_label
_atom_site_type_symbol
_atom_site_fract_x
_atom_site_fract_y
_atom_site_fract_z
Tl1 Tl 0.0000 0.0000 0.0000
Re1 Re 0.0000 0.5000 0.5000
Ni1 Ni 0.5000 0.5000 0.0000